Hg2MoF, relaxed, DFT PBE+U; E = -9.65 eV per formula unit; distance to the lowest polymorph of the same formula = 80 meV per atom; density = 10.0 Mg/m³; symmetry = No. 225; total magnetic moment = 1.19 μB/atom; Fermi-level density of states = 1.0 states/eV/f.u.
1.0
1.288 -4.743 -0.570
-3.048 -3.590 1.516
-2.347 -2.819 -3.321
Mo Hg F
1 2 1
direct
0.500 0.500 0.500 Mo
0.250 0.250 0.250 Hg
0.750 0.750 0.750 Hg
0.000 0.000 0.000 F